[1]
First-principles (PBE-GGA) data for ThNpS3 after structural relaxation, as listed in Alexandria. Values from VASP.

Values from the calculation:
- total DFT energy (no corrections) (eV/atom) = -7.989
- formation energy without anion corrections (meV per atom) = -1441

Geometry as Quantum ESPRESSO input:
```
&SYSTEM
  ibrav = 0, nat = 10, ntyp = 3
/
ATOMIC_SPECIES
S 32.06 S.upf
Th 232.04 Th.upf
Np 237.00 Np.upf
ATOMIC_POSITIONS crystal
S 0.051 0.102 0.217
S 0.949 0.898 0.783
S 0.318 0.635 0.946
S 0.174 0.348 0.582
S 0.682 0.365 0.054
S 0.826 0.652 0.418
Th 0.875 0.750 0.098
Th 0.125 0.250 0.902
Np 0.643 0.285 0.379
Np 0.357 0.715 0.621
CELL_PARAMETERS angstrom
-2.230 -3.242 -2.430
6.844 1.417 -3.771
2.876 -5.703 4.971
```

[2]
First-principles (PBE-GGA) data for LaAlCdPd3 after structural relaxation, as listed in Alexandria. Values from VASP.

Values from the calculation:
- total DFT energy (no corrections) (eV/atom) = -4.701
- ΔH_f (0 K) (eV/atom) = -0.507

Geometry as Quantum ESPRESSO input:
```
&SYSTEM
  ibrav = 0, nat = 12, ntyp = 4
/
ATOMIC_SPECIES
La 138.91 La.upf
Pd 106.42 Pd.upf
Al 26.98 Al.upf
Cd 112.41 Cd.upf
ATOMIC_POSITIONS crystal
La 0.750 0.302 0.604
La 0.250 0.698 0.396
Pd 0.250 0.184 0.367
Pd 0.000 0.304 0.000
Pd 0.500 0.696 0.000
Pd 0.750 0.816 0.633
Pd 0.000 0.696 0.000
Pd 0.500 0.304 0.000
Al 0.750 0.619 0.238
Al 0.250 0.381 0.762
Cd 0.250 0.955 0.909
Cd 0.750 0.045 0.091
CELL_PARAMETERS angstrom
5.906 0.000 0.000
0.000 7.168 0.000
0.000 -3.584 6.150
```

[3]
First-principles (PBE-GGA) data for Tl2AgHg2 after structural relaxation, as listed in Alexandria. Values from VASP.

Values from the calculation:
- total DFT energy (no corrections) (eV/atom) = -1.556
- ΔH_f (0 K) (eV/atom) = 0.081

Geometry as Quantum ESPRESSO input:
```
&SYSTEM
  ibrav = 0, nat = 10, ntyp = 3
/
ATOMIC_SPECIES
Tl 204.38 Tl.upf
Ag 107.87 Ag.upf
Hg 200.59 Hg.upf
ATOMIC_POSITIONS crystal
Tl 0.829 0.329 0.500
Tl 0.329 0.171 0.500
Tl 0.671 0.829 0.500
Tl 0.171 0.671 0.500
Ag 0.000 0.000 0.000
Ag 0.500 0.500 0.000
Hg 0.856 0.644 0.000
Hg 0.144 0.356 0.000
Hg 0.356 0.856 0.000
Hg 0.644 0.144 0.000
CELL_PARAMETERS angstrom
-2.007 -7.149 0.926
5.681 -0.977 4.772
-2.928 1.308 3.753
```

[4]
First-principles (PBE-GGA) data for Ti3FeSi after structural relaxation, as listed in Alexandria. Values from VASP.

Values from the calculation:
- total DFT energy (no corrections) (eV/atom) = -7.317
- formation energy without anion corrections (meV per atom) = 197

Geometry as Quantum ESPRESSO input:
```
&SYSTEM
  ibrav = 0, nat = 5, ntyp = 3
/
ATOMIC_SPECIES
Ti 47.87 Ti.upf
Fe 55.84 Fe.upf
Si 28.09 Si.upf
ATOMIC_POSITIONS crystal
Ti 0.000 0.500 0.000
Ti 0.000 0.000 0.500
Ti 0.500 0.000 0.000
Fe 0.000 0.000 0.000
Si 0.500 0.500 0.500
CELL_PARAMETERS angstrom
-3.266 -2.541 1.551
1.980 -0.135 3.948
-2.222 3.613 1.239
```

no.,D(E_F) (states/eV/cell)
1,24.385
2,5.708
3,5.004
4,7.451